Computed, not measured: an optimized crystal structure of Na3Tm3US8 at the PBE level of DFT.

a = 7.8841 Å, b = 7.8838 Å, c = 8.1173 Å
α = 119.07°, β = 90.00°, γ = 120.00°
Last column: nearest neighbours and their distance in Å.
Fractional coordinates of all 15 atoms:
S 0.2588 0.5177 0.2767  3 Tm 2.73, 3 Na 2.94
S 0.7411 0.9800 0.7187  1 U 2.70, 2 Tm 2.71, 2 Na 2.95-2.96
S 0.7611 0.5222 0.2813  1 U 2.70, 2 Tm 2.71, 2 Na 2.96
S 0.7611 0.0200 0.2813  1 U 2.70, 2 Tm 2.71, 2 Na 2.95-2.96
S 0.2389 0.4778 0.7187  1 U 2.70, 2 Tm 2.71, 2 Na 2.96
S 0.7412 0.4823 0.7233  3 Tm 2.73, 3 Na 2.94
S 0.2389 0.9800 0.7187  1 U 2.70, 2 Tm 2.71, 2 Na 2.95-2.96
S 0.2589 0.0200 0.2813  1 U 2.70, 2 Tm 2.71, 2 Na 2.95-2.96
U 0.0000 0.0000 0.5000  6 S 2.70
Na 0.0000 0.5000 0.0000  6 S 2.94-2.96
Na 0.5000 0.5000 0.0000  6 S 2.94-2.96
Na 0.0000 0.0000 0.0000  6 S 2.94-2.96
Tm 0.5000 0.5000 0.5000  6 S 2.71-2.73
Tm 0.0000 0.5000 0.5000  6 S 2.71-2.73
Tm 0.5000 0.0000 0.5000  6 S 2.71-2.73

Computed properties:
Fermi-level density of states in states/eV/cell: 6.30
Symmetry: R-3m
Uncorrected formation energy in eV/atom: -1.738
Raw total energy in eV per atom: -5.85